Below is a geometry-optimized Rb2TiBi2 structure, with properties calculated at the PBE level.

Output
N(E_F)	8.9	states/eV/cell
total magnetization	2.064	μB/cell
theoretical density	6.02	g cm⁻³
VASP energy	-3.012	eV per atom
offset from the most stable computed form	0.558	eV per atom
volume	35.12	Å³/atom
E_form	2.53	eV per formula unit

a b c (Å): 4.567 4.567 9.018
angles (deg): 75.33 75.33 90.00
Site moments in Bohr magnetons follow the coordinates.
Fractional coordinates of all 5 atoms:
Bi1 0.414 0.414 0.173  -0.07
Bi2 0.586 0.586 0.827  -0.07
Rb1 0.750 0.250 0.500  0.01
Rb2 0.250 0.750 0.500  0.01
Ti1 0.000 0.000 0.000  1.59

---

Below is a geometry-optimized Tb5Pr2Er2 structure, with properties calculated at the PBE level.

Output
N(E_F)	26.8	states/eV/cell
total magnetization	0.001	μB/cell
theoretical density	7.87	g cm⁻³
VASP energy	-4.487	eV per atom
offset from the most stable computed form	0.000	eV per atom
volume	33.10	Å³/atom
E_form	1.45	eV per formula unit

a b c (Å): 11.948 6.725 8.945
angles (deg): 112.08 114.48 90.00
Fractional coordinates of all 18 atoms:
Tb1 0.194 0.635 0.872
Tb2 0.806 0.764 0.128
Tb3 0.194 0.202 0.900
Tb4 0.806 0.303 0.100
Tb5 0.353 0.005 0.223
Tb6 0.647 0.782 0.777
Tb7 0.431 0.566 0.352
Tb8 0.569 0.213 0.648
Tb9 0.010 0.693 0.544
Tb10 0.990 0.149 0.456
Pr1 0.118 0.632 0.233
Pr2 0.882 0.399 0.767
Pr3 0.637 0.203 0.275
Pr4 0.363 0.928 0.725
Er1 0.000 0.987 0.000
Er2 0.500 0.538 0.000
Er3 0.271 0.352 0.533
Er4 0.729 0.820 0.467

---

Below is a geometry-optimized LiSi2Se structure, with properties calculated at the PBE level.

Output
E_form (uncorrected)	0.130	eV per atom
N(E_F)	1.7	states/eV/cell
total magnetization	0.109	μB/cell
theoretical density	3.09	g cm⁻³
VASP energy	-3.931	eV per atom
volume	19.10	Å³/atom

a b c (Å): 10.259 10.259 10.259
angles (deg): 16.55 16.55 16.55
Site moments in Bohr magnetons follow the coordinates.
Fractional coordinates of all 4 atoms:
Li1 0.493 0.493 0.493  0.00
Se1 0.226 0.226 0.226  0.07
Si1 0.027 0.027 0.027  0.00
Si2 0.755 0.755 0.755  0.00

---

Below is a geometry-optimized Al2InOs structure, with properties calculated at the PBE level.

Output
N(E_F)	1.6	states/eV/cell
total magnetization	0.000	μB/cell
theoretical density	8.88	g cm⁻³
VASP energy	-5.315	eV per atom
volume	16.78	Å³/atom
E_form	0.19	eV per formula unit

a b c (Å): 4.733 4.733 4.896
angles (deg): 80.00 80.00 38.50
Fractional coordinates of all 4 atoms:
Os1 0.250 0.250 0.250
Al1 0.983 0.983 0.044
Al2 0.517 0.517 0.456
In1 0.750 0.750 0.750

---

Below is a geometry-optimized HfTlSn2 structure, with properties calculated at the PBE level.

Output
N(E_F)	6.6	states/eV/cell
total magnetization	0.001	μB/cell
theoretical density	9.94	g cm⁻³
VASP energy	-4.813	eV per atom
offset from the most stable computed form	0.299	eV per atom
volume	25.89	Å³/atom
E_form	1.07	eV per formula unit

a b c (Å): 5.271 5.271 5.271
angles (deg): 60.00 60.00 60.00
Fractional coordinates of all 4 atoms:
Tl1 0.500 0.500 0.500
Hf1 0.000 0.000 0.000
Sn1 0.250 0.250 0.250
Sn2 0.750 0.750 0.750

---

Below is a geometry-optimized TbYIn structure, with properties calculated at the PBE level.

Output
N(E_F)	4.7	states/eV/cell
total magnetization	0.000	μB/cell
theoretical density	6.95	g cm⁻³
VASP energy	-4.854	eV per atom
offset from the most stable computed form	0.048	eV per atom
volume	28.88	Å³/atom
E_form	-0.73	eV per formula unit

a b c (Å): 5.223 5.223 7.292
angles (deg): 89.22 89.22 60.60
Fractional coordinates of all 6 atoms:
Tb1 0.667 0.667 0.110
Tb2 0.333 0.333 0.890
Y1 0.667 0.667 0.611
Y2 0.333 0.333 0.389
In1 0.000 0.000 0.749
In2 0.000 0.000 0.251

---

Below is a geometry-optimized La2Nd2N3 structure, with properties calculated at the PBE level.

Output
E_form (uncorrected)	-1.150	eV per atom
N(E_F)	3.5	states/eV/cell
total magnetization	0.912	μB/cell
theoretical density	6.97	g cm⁻³
VASP energy	-7.488	eV per atom
offset from the most stable computed form	0.000	eV per atom
volume	20.69	Å³/atom

a b c (Å): 3.673 6.519 6.414
angles (deg): 99.71 106.64 90.00
Site moments in Bohr magnetons follow the coordinates.
Fractional coordinates of all 7 atoms:
La1 0.866 0.642 0.732  0.09
La2 0.134 0.358 0.268  0.09
Nd1 0.626 0.891 0.253  0.06
Nd2 0.374 0.109 0.747  0.06
N1 0.000 0.000 0.000  -0.01
N2 0.743 0.243 0.486  0.01
N3 0.257 0.757 0.514  0.01

---

Below is a geometry-optimized Mg2BiRh structure, with properties calculated at the PBE level.

Output
N(E_F)	3.4	states/eV/cell
total magnetization	0.000	μB/cell
theoretical density	6.37	g cm⁻³
VASP energy	-3.610	eV per atom
volume	23.49	Å³/atom
E_form	-0.02	eV per formula unit

a b c (Å): 8.387 8.387 6.504
angles (deg): 49.86 49.86 90.00
Fractional coordinates of all 8 atoms:
Mg1 0.540 0.125 0.250
Mg2 0.210 0.625 0.250
Mg3 0.375 0.460 0.750
Mg4 0.875 0.790 0.750
Rh1 0.500 0.500 0.000
Rh2 0.250 0.750 0.500
Bi1 0.000 0.000 0.000
Bi2 0.750 0.250 0.500

---

Below is a geometry-optimized Ac2TeS structure, with properties calculated at the PBE level.

Output
E_form (uncorrected)	-1.724	eV per atom
N(E_F)	0.7	states/eV/cell
total magnetization	0.000	μB/cell
theoretical density	7.72	g cm⁻³
VASP energy	-5.596	eV per atom
offset from the most stable computed form	0.024	eV per atom
volume	33.01	Å³/atom

a b c (Å): 4.407 4.407 8.251
angles (deg): 74.51 74.51 60.00
Fractional coordinates of all 4 atoms:
Ac1 0.070 0.070 0.789
Ac2 0.262 0.262 0.214
Te1 0.499 0.499 0.503
S1 0.668 0.668 0.995

---

Below is a geometry-optimized Rb2ThH2Se4 structure, with properties calculated at the PBE level.

Output
total magnetization	0.000	μB/cell
theoretical density	4.65	g cm⁻³
VASP energy	-4.201	eV per atom
volume	28.60	Å³/atom

a b c (Å): 3.840 8.033 9.296
angles (deg): 112.90 101.92 90.00
Fractional coordinates of all 9 atoms:
Rb1 0.138 0.615 0.276
Rb2 0.862 0.385 0.724
Th1 0.000 0.000 0.000
H1 0.684 0.142 0.367
H2 0.316 0.858 0.633
Se1 0.180 0.189 0.361
Se2 0.820 0.811 0.639
Se3 0.505 0.742 0.010
Se4 0.495 0.258 0.990

---

Below is a geometry-optimized KHf2Mo structure, with properties calculated at the PBE level.

Output
N(E_F)	5.7	states/eV/cell
total magnetization	0.000	μB/cell
theoretical density	9.47	g cm⁻³
VASP energy	-6.943	eV per atom
offset from the most stable computed form	0.000	eV per atom
volume	21.58	Å³/atom
E_form	4.06	eV per formula unit

a b c (Å): 4.960 4.960 4.960
angles (deg): 60.00 60.00 60.00
Fractional coordinates of all 4 atoms:
Mo1 0.500 0.500 0.500
Hf1 0.250 0.250 0.250
Hf2 0.750 0.750 0.750
K1 0.000 0.000 0.000

---

Below is a geometry-optimized CrCdCo2 structure, with properties calculated at the PBE level.

Output
N(E_F)	3.5	states/eV/cell
total magnetization	1.744	μB/cell
theoretical density	8.76	g cm⁻³
VASP energy	-5.772	eV per atom
volume	13.37	Å³/atom
E_form	1.66	eV per formula unit

a b c (Å): 8.870 8.870 8.870
angles (deg): 17.24 17.24 17.24
Site moments in Bohr magnetons follow the coordinates.
Fractional coordinates of all 4 atoms:
Cd1 0.748 0.748 0.748  -0.01
Co1 0.991 0.991 0.991  1.56
Co2 0.250 0.250 0.250  1.05
Cr1 0.511 0.511 0.511  -0.72

---

Below is a geometry-optimized Zr2MoRhN structure, with properties calculated at the PBE level.

Output
E_form (uncorrected)	-0.737	eV per atom
N(E_F)	4.1	states/eV/cell
total magnetization	0.000	μB/cell
theoretical density	8.09	g cm⁻³
VASP energy	-9.458	eV per atom
volume	16.24	Å³/atom

a b c (Å): 4.535 4.535 3.947
angles (deg): 90.00 90.00 90.00
Fractional coordinates of all 5 atoms:
Mo1 0.000 0.000 0.500
Rh1 0.500 0.500 0.500
Zr1 0.000 0.500 0.000
Zr2 0.500 0.000 0.000
N1 0.000 0.000 0.000

---

Below is a geometry-optimized SmPa2GeN5 structure, with properties calculated at the PBE level.

Output
E_form (uncorrected)	-1.002	eV per atom
N(E_F)	12.3	states/eV/cell
total magnetization	2.167	μB/cell
theoretical density	9.68	g cm⁻³
VASP energy	-8.774	eV per atom
volume	14.39	Å³/atom

a b c (Å): 3.295 8.514 9.409
angles (deg): 90.00 90.00 101.16
Site moments in Bohr magnetons follow the coordinates.
Fractional coordinates of all 18 atoms:
Sm1 0.779 0.558 0.501  0.07
Sm2 0.221 0.442 0.001  0.07
Pa1 0.892 0.783 0.805  0.32
Pa2 0.095 0.189 0.676  0.59
Pa3 0.108 0.217 0.305  0.32
Pa4 0.905 0.811 0.176  0.59
Ge1 0.554 0.107 0.956  0.00
Ge2 0.446 0.893 0.456  0.00
N1 0.367 0.733 0.010  -0.03
N2 0.652 0.303 0.851  -0.01
N3 0.494 0.989 0.785  -0.02
N4 0.321 0.641 0.688  -0.01
N5 0.965 0.929 0.553  0.00
N6 0.633 0.267 0.510  -0.03
N7 0.348 0.697 0.351  -0.01
N8 0.506 0.011 0.285  -0.02
N9 0.679 0.359 0.188  -0.01
N10 0.035 0.071 0.053  0.00

---

Below is a geometry-optimized Ni2As2Os structure, with properties calculated at the PBE level.

Output
N(E_F)	3.3	states/eV/cell
total magnetization	0.000	μB/cell
theoretical density	10.65	g cm⁻³
VASP energy	-6.063	eV per atom
offset from the most stable computed form	0.243	eV per atom
volume	14.26	Å³/atom
E_form	1.78	eV per formula unit

a b c (Å): 3.231 3.231 7.202
angles (deg): 77.04 77.04 90.00
Fractional coordinates of all 5 atoms:
Ni1 0.750 0.250 0.500
Ni2 0.250 0.750 0.500
As1 0.387 0.387 0.225
As2 0.613 0.613 0.775
Os1 0.000 0.000 0.000

---

Below is a geometry-optimized AcBiH structure, with properties calculated at the PBE level.

Output
N(E_F)	0.9	states/eV/cell
total magnetization	0.000	μB/cell
theoretical density	9.21	g cm⁻³
VASP energy	-4.154	eV per atom
offset from the most stable computed form	0.239	eV per atom
volume	26.27	Å³/atom

a b c (Å): 3.596 3.596 6.604
angles (deg): 105.80 105.80 90.00
Fractional coordinates of all 3 atoms:
H1 0.272 0.272 0.544
Ac1 0.721 0.721 0.442
Bi1 0.007 0.007 0.015

---

Below is a geometry-optimized BaSrCdRh2 structure, with properties calculated at the PBE level.

Output
N(E_F)	3.7	states/eV/cell
total magnetization	0.000	μB/cell
theoretical density	5.68	g cm⁻³
VASP energy	-3.199	eV per atom
volume	31.75	Å³/atom
E_form	3.23	eV per formula unit

a b c (Å): 5.225 5.815 5.225
angles (deg): 90.00 90.00 90.00
Fractional coordinates of all 5 atoms:
Sr1 0.000 0.000 0.000
Rh1 0.000 0.000 0.500
Rh2 0.500 0.000 0.000
Ba1 0.500 0.500 0.500
Cd1 0.000 0.500 0.000

---

Below is a geometry-optimized SmTh2ReN5 structure, with properties calculated at the PBE level.

Output
E_form (uncorrected)	-1.066	eV per atom
N(E_F)	9.9	states/eV/cell
total magnetization	0.000	μB/cell
theoretical density	10.71	g cm⁻³
VASP energy	-9.248	eV per atom
volume	15.00	Å³/atom

a b c (Å): 6.783 6.783 7.579
angles (deg): 116.58 116.58 90.00
Fractional coordinates of all 18 atoms:
Sm1 0.250 0.250 0.500
Sm2 0.750 0.750 0.500
Th1 0.177 0.323 0.000
Th2 0.677 0.177 0.000
Th3 0.323 0.823 0.000
Th4 0.823 0.677 0.000
Re1 0.250 0.750 0.500
Re2 0.750 0.250 0.500
N1 0.993 0.493 0.282
N2 0.711 0.211 0.718
N3 0.007 0.507 0.718
N4 0.211 0.007 0.718
N5 0.507 0.711 0.718
N6 0.789 0.993 0.282
N7 0.493 0.289 0.282
N8 0.289 0.789 0.282
N9 0.500 0.500 0.000
N10 0.000 0.000 0.000

---

Below is a geometry-optimized Ho4ErTm2Mg structure, with properties calculated at the PBE level.

Output
N(E_F)	11.9	states/eV/cell
total magnetization	0.000	μB/cell
theoretical density	8.29	g cm⁻³
VASP energy	-4.154	eV per atom
volume	29.79	Å³/atom
E_form	0.18	eV per formula unit

a b c (Å): 4.921 4.931 10.991
angles (deg): 63.31 90.00 90.00
Fractional coordinates of all 8 atoms:
Ho1 0.000 0.748 0.752
Ho2 0.000 0.252 0.248
Ho3 0.500 0.752 0.248
Ho4 0.500 0.248 0.752
Er1 0.000 0.500 0.500
Tm1 0.000 0.000 0.000
Tm2 0.500 0.000 0.500
Mg1 0.500 0.500 0.000

---

Below is a geometry-optimized NaTlRhF6 structure, with properties calculated at the PBE level.

Output
E_form (uncorrected)	-1.924	eV per atom
N(E_F)	10.6	states/eV/cell
total magnetization	0.000	μB/cell
theoretical density	4.99	g cm⁻³
VASP energy	-4.398	eV per atom
volume	16.43	Å³/atom

a b c (Å): 5.283 5.283 10.596
angles (deg): 90.00 90.00 90.00
Fractional coordinates of all 18 atoms:
Na1 0.500 0.500 0.502
Na2 0.000 0.000 0.002
Tl1 0.500 0.500 0.828
Tl2 0.000 0.000 0.328
Rh1 0.500 0.500 0.167
Rh2 0.000 0.000 0.667
F1 0.184 0.816 0.532
F2 0.816 0.184 0.532
F3 0.316 0.316 0.032
F4 0.684 0.684 0.032
F5 0.233 0.767 0.159
F6 0.767 0.233 0.159
F7 0.267 0.267 0.659
F8 0.733 0.733 0.659
F9 0.830 0.170 0.811
F10 0.170 0.830 0.811
F11 0.670 0.670 0.311
F12 0.330 0.330 0.311